Below is a relaxed structure of NbTe3Au, with properties calculated at the PBE level.

Structure (CIF):
```
data_NbTe3Au
_chemical_formula_sum 'Nb1 Te3 Au1'
_symmetry_space_group_name_H-M 'P m -3 m'
_symmetry_Int_Tables_number 221
_symmetry_space_group_name_Hall '-P 4 2 3'
_cell_length_a 5.377
_cell_length_b 5.377
_cell_length_c 5.377
_cell_angle_alpha 90.00
_cell_angle_beta 90.00
_cell_angle_gamma 90.00
loop_
_atom_site_label
_atom_site_type_symbol
_atom_site_fract_x
_atom_site_fract_y
_atom_site_fract_z
_atom_site_occupancy
Nb1 Nb 0.000 0.000 0.000 1
Te1 Te 0.000 0.000 0.500 1
Au1 Au 0.500 0.500 0.500 1
```

## Properties
Energy relative to the elements, uncorrected (meV/atom): 397.9
ΔE to the lowest computed polymorph (eV per atom): 0.549
Crystal system: cubic
D(E_F) (states/eV per cell): 3.23